Density functional theory data (PBE) for a geometry-optimized Th5ZnFe2 structure.

Cell lengths 7.679, 7.679, 8.582 Å; angles 116.58, 116.58, 90.00 degrees
Sites, in units of the cell vectors:
Th 0.522 0.703 0.725
Th 0.797 0.978 0.275
Th 0.000 0.000 0.000
Th 0.500 0.500 0.000
Th 0.203 0.022 0.725
Th 0.703 0.203 0.725
Th 0.022 0.522 0.725
Th 0.297 0.797 0.275
Th 0.978 0.478 0.275
Th 0.478 0.297 0.275
Zn 0.750 0.750 0.500
Zn 0.250 0.250 0.500
Fe 0.135 0.365 0.000
Fe 0.635 0.135 0.000
Fe 0.365 0.865 0.000
Fe 0.865 0.635 0.000

Computed properties:
- Space group: I4/mcm (140)
- Calculated formation energy: -0.101 eV/atom
- DOS(E_F): 0.8574 states/eV per atom



Density functional theory data (PBE) for a geometry-optimized Mo2AsW structure.

Cell lengths 4.157, 2.988, 5.914 Å; angles 59.86, 90.00, 90.00 degrees
Sites, in units of the cell vectors:
Mo 0.000 0.994 0.997
Mo 0.000 0.506 0.503
As 0.500 0.750 0.750
W 0.500 0.250 0.250

Computed properties:
- Space group: P2/m (10)
- Calculated formation energy: 0.175 eV/atom
- DOS(E_F): 0.6101 states/eV per atom



Density functional theory data (PBE) for a geometry-optimized V6Sn2W structure.

Cell lengths 2.836, 7.567, 7.569 Å; angles 60.01, 89.99, 89.99 degrees
Sites, in units of the cell vectors:
V 0.859 0.499 0.182
V 0.141 0.501 0.818
V 0.859 0.819 0.499
V 0.860 0.182 0.819
V 0.140 0.818 0.181
V 0.141 0.181 0.501
Sn 0.491 0.167 0.167
Sn 0.509 0.833 0.833
W 0.500 0.500 0.500

Computed properties:
- Space group: P-3 (147)
- Calculated formation energy: 0.049 eV/atom
- DOS(E_F): 0.7981 states/eV per atom